Here is an optimized crystal structure of NaBi2H2 from Alexandria via LeMat-Bulk. Energies are from PBE-GGA.

a b c (Å): 3.4496 3.4536 9.8021
angles (deg): 89.63 89.50 63.17
Closest atoms and distances in Å follow each position.
Atoms (fractional coordinates):
Na1 0.0000 0.0000 0.0000  6 H 2.34-2.36
Bi1 0.3449 0.3416 0.6695  1 H 2.04
Bi2 0.6551 0.6584 0.3305  1 H 2.04
H1 0.3439 0.3437 0.8771  1 Bi 2.04
H2 0.6561 0.6563 0.1229  1 Bi 2.04

Properties
- VASP energy: -3.0521 eV per atom